Compound: CuSnHRu2
Source: Alexandria via LeMat-Bulk
Functional: PBE
Structure: relaxed Values from VASP.

Results
- Final energy: -5.8972 eV per atom
- Calculated density: 10.2 Mg/m³

```
&SYSTEM
  ibrav = 0, nat = 5, ntyp = 4
/
ATOMIC_SPECIES
Ru 101.07 Ru.upf
Cu 63.55 Cu.upf
Sn 118.71 Sn.upf
H 1.01 H.upf
CELL_PARAMETERS angstrom
4.126 0.000 0.000
0.000 4.126 0.000
0.000 0.000 3.669
ATOMIC_POSITIONS angstrom
Ru 2.063 0.000 0.000
Ru 0.000 2.063 0.000
Cu 0.000 0.000 1.835
Sn 2.063 2.063 1.835
H 0.000 0.000 0.000
```